Compound: AcUAsO2
Source: the Alexandria database
Functional: PBE
Structure: optimized geometry Values from VASP.

As for the volume: 19.9 Å³ per atom. The theoretical density is 9.5 g/cm³. For the raw formation energy, the calculation gives -2.557 eV per atom. As for the raw total energy: -0.3142 Ha/atom. For the total magnetization, the calculation gives 1.77 μB per formula unit.

Quantum ESPRESSO input file:
```
&SYSTEM
  ibrav = 0, nat = 10, ntyp = 4
/
ATOMIC_SPECIES
Ac 227.00 Ac.upf
U 238.03 U.upf
As 74.92 As.upf
O 16.00 O.upf
CELL_PARAMETERS angstrom
2.0825 -6.1533 0.0000
2.0825 6.1533 0.0000
0.0000 0.0000 7.7832
ATOMIC_POSITIONS angstrom
Ac 2.0825 3.3228 5.8374
Ac 2.0825 -3.3228 1.9458
U 2.0825 0.0000 0.0000
U 2.0825 0.0000 3.8916
As 2.0825 5.6081 1.9458
As 2.0825 -5.6081 5.8374
O 2.0825 2.0262 0.4455
O 2.0825 2.0262 3.4462
O 2.0825 -2.0262 4.3371
O 2.0825 -2.0262 7.3378
```